## BaMnBO2 (PBE with a Hubbard U)

Data for BaMnBO2 after structural relaxation.

Properties
- Space group: P4/mmm (123)
- E: -5.35 eV/atom

abc: 4.3504 3.9970 4.3504
angles: 90.00 90.00 90.00
Closest atoms and distances in Å follow each position.
Element x y z (fractional)
B 0.0000 0.0000 0.0000  2 Mn 2.00, 4 O 2.18
O 0.0000 0.0000 0.5000  2 B 2.18
Ba 0.5000 0.5000 0.5000  8 O 2.95, 4 Mn 3.08
Mn 0.0000 0.5000 0.0000  2 B 2.00
O 0.5000 0.0000 0.0000  2 B 2.18